Record 1
A relaxed structure of NaMn3Cl. Source: Alexandria via LeMat-Bulk, functional PBE.

abc: 5.2120 5.2120 5.2120
angles: 90.00 90.00 90.00
Each line ends with the local moment (μB).
Sites, in units of the cell vectors:
Cl (0.5000, 0.5000, 0.5000)  0.14
Mn (0.5000, 0.0000, 0.0000)  4.22
Mn (0.0000, 0.5000, 0.0000)  4.23
Na (0.0000, 0.0000, 0.0000)  -0.04
Mn (0.0000, 0.0000, 0.5000)  4.32

Values from the calculation:
* total magnetization: 14.0 μB per cell
* energy above the lowest structure with this stoichiometry: 719 meV/atom

=====

Record 2
A relaxed structure of AlCdAs2. Source: Alexandria via LeMat-Bulk, functional PBE.

abc: 9.9771 9.9771 9.9771
angles: 18.20 18.20 18.20
Sites, in units of the cell vectors:
As (0.2359, 0.2359, 0.2359)
Al (0.7512, 0.7512, 0.7512)
Cd (0.4944, 0.4944, 0.4944)
As (0.0186, 0.0186, 0.0186)

Values from the calculation:
* DFT formation energy: 0.87 eV/f.u.
* total magnetization: 0.0 μB per cell
* energy above the lowest structure with this stoichiometry: 354 meV/atom

=====

Record 3
A relaxed structure of LiZrIn. Source: Alexandria via LeMat-Bulk, functional PBE.

abc: 13.6857 5.4120 5.4120
angles: 132.83 146.02 33.98
Sites, in units of the cell vectors:
Li (0.9543, 0.9134, 0.0866)
In (0.1396, 0.3984, 0.6016)
In (0.8034, 0.3932, 0.6068)
Li (0.6709, 0.8465, 0.1535)
Zr (0.3252, 0.8623, 0.1377)
Zr (0.4520, 0.4122, 0.5878)

Values from the calculation:
* DFT formation energy: -0.27 eV/f.u.
* total magnetization: 0.0 μB per cell
* energy above the lowest structure with this stoichiometry: 133 meV/atom